Model w:
A relaxed structure of HgPdPt4. Source: Alexandria, functional PBE.

The space group is F-43m (No. 216) and the conventional cell measures 7.4933, 7.4933 and 7.4933 Å, with angles of 90.00, 90.00 and 90.00 degrees. Symmetry generates all atoms from Hg at (0.0000, 0.0000, 0.0000), Pd at (0.2500, 0.2500, 0.7500) and Pt at (0.1247, 0.1247, 0.3753).

***

Model x:
A relaxed structure of HgPdPt4. Source: Alexandria, functional PBE.

The space group is C2/m (No. 12) and the conventional cell measures 8.9129, 4.4544 and 5.5465 Å, with angles of 90.00, 107.08 and 90.00 degrees. Symmetry generates all atoms from Hg at (0.0000, 0.0000, 0.0000), Pd at (0.0000, 0.0000, 0.5000), Pt at (0.1942, 0.5000, 0.5934) and Pt at (0.2142, 0.5000, 0.1129).

***

Name the least stable of them. model w.